(1)
A relaxed YNiRhPb crystal. Source: Alexandria via LeMat-Bulk, functional PBE-GGA.

Cell lengths 4.735, 4.735, 4.735 Å; angles 60.00, 60.00, 60.00 degrees
Fractional positions:
1 Y 0.000 0.000 0.000
2 Pb 0.500 0.500 0.500
3 Ni 0.750 0.750 0.750
4 Rh 0.250 0.250 0.250

The calculation puts the size of the total moment at 0.00 μB/cell. Its space group is F-43m. For the uncorrected energy, the calculation gives -24.79 eV for the cell shown. The value obtained for the mass density is 10.13 g cm⁻³.

---

(2)
A relaxed ZrNiRhPb crystal. Source: Alexandria via LeMat-Bulk, functional PBE-GGA.

Cell lengths 4.627, 4.627, 4.627 Å; angles 60.00, 60.00, 60.00 degrees
Fractional positions:
1 Pb 0.000 0.000 0.000
2 Zr 0.500 0.500 0.500
3 Rh 0.250 0.250 0.250
4 Ni 0.750 0.750 0.750

The calculation puts the size of the total moment at 0.00 μB/cell. Its space group is F-43m. For the uncorrected energy, the calculation gives -26.66 eV for the cell shown. The value obtained for the mass density is 10.91 g cm⁻³.